4
Lattice="5.384 -0.010 0.000 -2.581 4.725 0.000 0.000 0.000 2.719" Properties=species:S:1:pos:R:3 comment="PBE Cd2ReTc, relaxed" relative_energy_mev_per_atom=537 volume_a3_per_atom=17.27 magmom_total_mub_per_cell=0.01 formation_enthalpy_0k_ev_per_atom=0.710 density_g_cm3=12.2 pbc="T T T"
Cd 0.000 0.000 0.000
Re 2.692 -0.005 1.360
Tc -1.290 2.362 1.360
Cd 1.402 2.357 0.000